Computed, not measured: a relaxed structure of Pr5Tm4In at the PBE level of DFT.

Cell lengths 5.968, 8.116, 8.116 Å; angles 82.23, 68.43, 68.43 degrees
Positions (direct):
Pr: 0.763 0.000 0.377
Pr: 0.763 0.377 0.000
Pr: 0.140 0.623 0.000
Pr: 0.140 0.000 0.623
Pr: 0.672 0.000 0.000
Tm: 0.460 0.322 0.678
Tm: 0.460 0.678 0.322
Tm: 0.138 0.322 0.322
Tm: 0.783 0.678 0.678
In: 0.192 0.000 0.000

Computed properties:
The calculation puts the calculated formation energy at 0.17 eV/atom. The density comes out at 7.30 g/cm3. The total DFT energy (no corrections) is -42.8 eV for the cell shown. The energy above the lowest structure with this stoichiometry is 0.192 eV per atom. Its space-group type is I4mm (107).